Here is KRb2AuS after structural relaxation from the Alexandria database. Energies are from PBE-GGA.

Structure (POSCAR):
```
KRb2AuS
1.0
6.3360 0.0000 0.0000
0.0000 6.3360 0.0000
0.0000 0.0000 5.9894
K Rb Au S
1 2 1 1
direct
0.0000 0.0000 0.0000
0.0000 0.5000 0.5000
0.5000 0.0000 0.5000
0.5000 0.5000 0.0000
0.0000 0.0000 0.5000
```

Here is KRbAuS2 after structural relaxation from the Alexandria database. Energies are from PBE-GGA.

Structure (POSCAR):
```
KRbAuS2
1.0
6.0384 0.0000 0.0000
0.0000 6.0384 0.0000
0.0000 0.0000 6.0767
K Rb Au S
1 1 1 2
direct
0.0000 0.0000 0.0000
0.5000 0.5000 0.5000
0.5000 0.5000 0.0000
0.0000 0.5000 0.5000
0.5000 0.0000 0.5000
```

Relative energy among the computed polymorphs: 1107.3 meV/atom

Here is K2RbAuS2 after structural relaxation from the Alexandria database. Energies are from PBE-GGA.

Structure (POSCAR):
```
K2RbAuS2
1.0
8.0364 0.0000 0.0000
0.0000 8.4190 0.0000
0.0000 0.0000 5.6396
K Rb Au S
4 2 2 4
direct
0.1186 0.2433 0.0000
0.3814 0.7433 0.5000
0.6186 0.2567 0.5000
0.8814 0.7567 0.0000
0.0000 0.5000 0.5000
0.5000 0.0000 0.0000
0.0000 0.0000 0.5000
0.5000 0.5000 0.0000
0.2399 0.6221 0.0000
0.2601 0.1221 0.5000
0.7399 0.8779 0.5000
0.7601 0.3779 0.0000
```

Here is KRbAuS2 after structural relaxation from the Alexandria database. Energies are from PBE-GGA.

Structure (POSCAR):
```
KRbAuS2
1.0
4.5340 -7.7384 0.0000
4.5340 7.7384 0.0000
0.0000 0.0000 5.3996
K Rb Au S
2 2 2 4
direct
0.2500 0.2500 0.0000
0.7500 0.7500 0.0000
0.2500 0.7500 0.7519
0.7500 0.2500 0.2481
0.0000 0.0000 0.5000
0.5000 0.5000 0.5000
0.1199 0.8801 0.2573
0.3801 0.6199 0.2573
0.6199 0.3801 0.7427
0.8801 0.1199 0.7427
```

Relative energy among the computed polymorphs: 0.0 meV/atom

no.,E_form (uncorrected) (meV per atom),density (g/cm3)
1,-623,3.0
2,444,2.9
3,-940,3.7
4,-663,3.4